one) First-principles (GGA-PBE) data for an optimized crystal structure of Dy6Zn2Pd, as listed in the Alexandria database.

Cell lengths 8.5017, 8.5017, 8.5017 Å; angles 146.13, 131.67, 60.32 degrees
Positions (direct):
Dy (0.0856, 0.3368, 0.7488)
Dy (0.2472, 0.0000, 0.2472)
Dy (0.4119, 0.6632, 0.7488)
Dy (0.5881, 0.3368, 0.2512)
Dy (0.7528, 0.0000, 0.7528)
Dy (0.9144, 0.6632, 0.2512)
Zn (0.3329, 0.8329, 0.5000)
Zn (0.6671, 0.1671, 0.5000)
Pd (0.0000, 0.5000, 0.5000)

Results
* magnetization: 0.000 μB/atom
* space-group type: No. 71


two) First-principles (GGA-PBE) data for an optimized crystal structure of Dy6Zn2Pd, as listed in the Alexandria database.

Cell lengths 8.4388, 8.4388, 8.4388 Å; angles 111.05, 110.34, 107.05 degrees
Positions (direct):
Dy (0.0418, 0.2175, 0.8243)
Dy (0.2561, 0.5813, 0.3252)
Dy (0.2561, 0.9309, 0.6748)
Dy (0.2604, 0.3085, 0.5689)
Dy (0.2604, 0.6915, 0.9518)
Dy (0.3932, 0.2175, 0.1757)
Dy (0.6068, 0.7825, 0.8243)
Dy (0.7396, 0.3085, 0.0482)
Dy (0.7396, 0.6915, 0.4311)
Dy (0.7439, 0.0691, 0.3252)
Dy (0.7439, 0.4187, 0.6748)
Dy (0.9582, 0.7825, 0.1757)
Zn (0.0000, 0.1373, 0.1373)
Zn (0.0000, 0.8627, 0.8627)
Zn (0.3729, 0.0000, 0.3729)
Zn (0.6271, 0.0000, 0.6271)
Pd (0.0000, 0.5000, 0.5000)
Pd (0.5000, 0.5000, 0.0000)

Results
* magnetization: 0.000 μB/atom
* space-group type: No. 71


Relative energies, unit kJ/mol of atoms: one) 15.6; two) 0.0